A plane-wave DFT calculation with PBE was carried out for an optimized crystal structure of GdEr2Sn3Ir2Pd.

abc: 3.8421 7.6111 7.6111
angles: 120.14 90.00 90.00
Fractional coordinates of all 9 atoms:
Sn  0.5000  0.7338  0.7338
Sn  0.5000  0.9989  0.2662
Sn  0.5000  0.2662  0.9989
Ir  0.5000  0.3326  0.6697
Ir  0.5000  0.6697  0.3326
Er  0.0000  0.5936  0.0005
Er  0.0000  0.0005  0.5936
Pd  0.0000  0.9980  0.9980
Gd  0.0000  0.4067  0.4067

Output
- final energy (eV/atom) = -6.27
- size of the total moment (μB/atom) = 0.0002